1.
A relaxed Li2Nd3Ga3 crystal, computed with PBE.

Cell: 4.716 5.613 15.504 Å, 90.00 90.00 114.84°
Sites, in units of the cell vectors:
1 Li 0.795 0.589 0.913
2 Li 0.205 0.411 0.413
3 Li 0.205 0.411 0.087
4 Li 0.795 0.589 0.587
5 Ga 0.306 0.613 0.250
6 Ga 0.602 0.204 0.045
7 Ga 0.602 0.204 0.455
8 Ga 0.398 0.796 0.955
9 Ga 0.398 0.796 0.545
10 Ga 0.694 0.387 0.750
11 Nd 0.395 0.790 0.750
12 Nd 0.106 0.213 0.889
13 Nd 0.106 0.213 0.611
14 Nd 0.605 0.210 0.250
15 Nd 0.894 0.787 0.111
16 Nd 0.894 0.787 0.389

VASP energy = -61.21 eV per cell
Calculated formation energy = -0.424 eV/atom
Volume = 372.46 Å³/cell
Space group = Cmcm, No. 63



2.
A relaxed CdAu crystal, computed with PBE.

Cell: 3.099 3.099 5.028 Å, 72.05 72.05 60.00°
Sites, in units of the cell vectors:
1 Cd 0.500 0.500 0.500
2 Au 0.000 0.000 0.000

VASP energy = -4.37 eV per cell
Calculated formation energy = -0.087 eV/atom
Volume = 39.07 Å³/cell
Space group = R-3m, No. 166



3.
A relaxed ScNb2GeS crystal, computed with PBE.

Cell: 4.815 5.015 4.815 Å, 90.00 90.00 90.00°
Site moments in Bohr magnetons follow the coordinates.
Sites, in units of the cell vectors:
1 S 0.500 0.500 0.500  0.01
2 Nb 0.000 0.000 0.500  0.43
3 Nb 0.500 0.000 0.000  0.39
4 Ge 0.000 0.000 0.000  0.01
5 Sc 0.000 0.500 0.000  0.06

VASP energy = -31.44 eV per cell
Formation energy (no corrections) = 756 meV per atom
Volume = 116.28 Å³/cell
Space group = P4/mmm, No. 123



4.
A relaxed LaCu2Pd5 crystal, computed with PBE.

Cell: 3.918 6.387 6.387 Å, 70.64 72.14 72.14°
Sites, in units of the cell vectors:
1 Pd 0.000 0.500 0.500
2 Pd 0.353 0.458 0.837
3 Pd 0.647 0.163 0.542
4 Pd 0.353 0.837 0.458
5 Pd 0.647 0.542 0.163
6 Cu 0.257 0.243 0.243
7 Cu 0.743 0.757 0.757
8 La 0.000 0.000 0.000

VASP energy = -41.56 eV per cell
Calculated formation energy = -0.309 eV/atom
Volume = 139.73 Å³/cell
Space group = Immm, No. 71